Entry 1:
Entry from Alexandria via LeMat-Bulk: a relaxed structure of TcPt (PBE).

Unit cell a=2.6709 b=5.4014 c=4.3241 alpha=90.00 beta=90.00 gamma=104.31
Fractional coordinates of all 4 atoms:
Tc 0.8239 0.6478 0.7500
Pt 0.4273 0.8546 0.2500
Pt 0.5727 0.1454 0.7500
Tc 0.1761 0.3522 0.2500

Calculated values
formation enthalpy at 0 K: -0.06 eV per atom
ΔE to the lowest computed polymorph: 0.19 eV/f.u.
total magnetization: 0.000 μB/f.u.
space-group type: Cmcm, No. 63
V: 60.4 Å³ per cell


Entry 2:
Entry from Alexandria via LeMat-Bulk: a relaxed structure of Tc3Pt (PBE).

Unit cell a=5.5548 b=5.5548 c=4.4013 alpha=90.00 beta=90.00 gamma=120.00
Fractional coordinates of all 8 atoms:
Tc 0.8417 0.1583 0.2500
Tc 0.1583 0.8417 0.7500
Tc 0.8417 0.6834 0.2500
Tc 0.1583 0.3166 0.7500
Pt 0.6667 0.3333 0.7500
Tc 0.6834 0.8417 0.7500
Tc 0.3166 0.1583 0.2500
Pt 0.3333 0.6667 0.2500

Calculated values
formation enthalpy at 0 K: -0.26 eV per atom
ΔE to the lowest computed polymorph: 0.00 eV/f.u.
total magnetization: 0.000 μB/f.u.
space-group type: P6_3/mmc, No. 194
V: 117.6 Å³ per cell


Entry 3:
Entry from Alexandria via LeMat-Bulk: a relaxed structure of Tc2Pt (PBE).

Unit cell a=7.5354 b=7.5354 c=2.7244 alpha=90.00 beta=90.00 gamma=120.00
Fractional coordinates of all 9 atoms:
Pt 0.6667 0.3333 0.0000
Pt 0.0000 0.0000 0.5000
Pt 0.3333 0.6667 0.0000
Tc 0.0000 0.6385 0.5000
Tc 0.6385 0.0000 0.5000
Tc 0.3615 0.3615 0.5000
Tc 0.0000 0.3053 0.0000
Tc 0.3053 0.0000 0.0000
Tc 0.6947 0.6947 0.0000

Calculated values
formation enthalpy at 0 K: -0.05 eV per atom
ΔE to the lowest computed polymorph: 0.48 eV/f.u.
total magnetization: 0.000 μB/f.u.
space-group type: P-62m, No. 189
V: 134.0 Å³ per cell


Entry 4:
Entry from Alexandria via LeMat-Bulk: a relaxed structure of TcPt (PBE).

Unit cell a=4.8589 b=5.3051 c=2.7600 alpha=74.92 beta=90.00 gamma=118.22
Fractional coordinates of all 4 atoms:
Pt 0.9876 0.9895 0.0053
Tc 0.5751 0.4875 0.7562
Pt 0.0957 0.5105 0.2447
Tc 0.5083 0.0125 0.4938

Calculated values
formation enthalpy at 0 K: -0.10 eV per atom
ΔE to the lowest computed polymorph: 0.11 eV/f.u.
total magnetization: 0.000 μB/f.u.
space-group type: C2/m, No. 12
V: 59.9 Å³ per cell


Entry 5:
Entry from Alexandria via LeMat-Bulk: a relaxed structure of TcPt2 (PBE).

Unit cell a=5.3235 b=5.3235 c=6.5923 alpha=75.62 beta=75.62 gamma=30.50
Fractional coordinates of all 6 atoms:
Tc 0.9372 0.9372 0.6223
Tc 0.2841 0.2841 0.9330
Pt 0.3365 0.3365 0.3378
Pt 0.6655 0.6655 0.6691
Pt 0.9969 0.9969 0.9960
Pt 0.6131 0.6131 0.2752

Calculated values
formation enthalpy at 0 K: -0.07 eV per atom
ΔE to the lowest computed polymorph: 0.37 eV/f.u.
total magnetization: 0.000 μB/f.u.
space-group type: Cm, No. 8
V: 91.6 Å³ per cell


Entry 6:
Entry from Alexandria via LeMat-Bulk: a relaxed structure of TcPt2 (PBE).

Unit cell a=3.9369 b=3.9369 c=12.1425 alpha=99.33 beta=99.33 gamma=90.00
Fractional coordinates of all 12 atoms:
Pt 0.5013 0.0013 0.0027
Pt 0.6656 0.1656 0.3312
Tc 0.9109 0.9109 0.8218
Tc 0.3391 0.8391 0.6782
Tc 0.0891 0.0891 0.1782
Pt 0.4156 0.4156 0.8312
Pt 0.2513 0.2513 0.5027
Tc 0.1609 0.6609 0.3218
Pt 0.8344 0.3344 0.6688
Pt 0.7487 0.7487 0.4973
Pt 0.9987 0.4987 0.9973
Pt 0.5844 0.5844 0.1688

Calculated values
formation enthalpy at 0 K: -0.11 eV per atom
ΔE to the lowest computed polymorph: 0.25 eV/f.u.
total magnetization: 0.000 μB/f.u.
space-group type: I4_1/amd, No. 141
V: 183.2 Å³ per cell


Entry 7:
Entry from Alexandria via LeMat-Bulk: a relaxed structure of TcPt3 (PBE).

Unit cell a=5.0275 b=5.0275 c=5.0275 alpha=90.00 beta=90.00 gamma=90.00
Fractional coordinates of all 8 atoms:
Pt 0.0000 0.2500 0.5000
Pt 0.7500 0.5000 0.0000
Pt 0.5000 0.0000 0.2500
Pt 0.0000 0.7500 0.5000
Tc 0.0000 0.0000 0.0000
Tc 0.5000 0.5000 0.5000
Pt 0.5000 0.0000 0.7500
Pt 0.2500 0.5000 0.0000

Calculated values
formation enthalpy at 0 K: 0.14 eV per atom
total magnetization: 1.010 μB/f.u.
space-group type: Pm-3n, No. 223
V: 127.1 Å³ per cell


Entry 8:
Entry from Alexandria via LeMat-Bulk: a relaxed structure of TcPt3 (PBE).

Unit cell a=5.5304 b=4.5976 c=4.8288 alpha=90.00 beta=90.00 gamma=90.00
Fractional coordinates of all 8 atoms:
Pt 0.2504 0.0000 0.1620
Tc 0.5000 0.5000 0.3333
Pt 0.7496 0.0000 0.1620
Tc 0.0000 0.0000 0.6667
Pt 0.5000 0.0000 0.6475
Pt 0.7504 0.5000 0.8380
Pt 0.2496 0.5000 0.8380
Pt 0.0000 0.5000 0.3525

Calculated values
formation enthalpy at 0 K: -0.07 eV per atom
total magnetization: 0.000 μB/f.u.
space-group type: Pmmn, No. 59
V: 122.8 Å³ per cell


What is the total magnetization in the third record?
0.000 μB/f.u.